TlHRu2O: relaxed, PBE.

Cell: 5.1797 3.3959 5.1797 Å, 90.00 90.00 90.00°
Last column: magnetic moment on the atom in μB.
Fractional coordinates of all 5 atoms:
Ru: 0.0000 0.0000 0.5000  2.36
Ru: 0.5000 0.0000 0.0000  2.04
Tl: 0.0000 0.0000 0.0000  -0.04
O: 0.5000 0.5000 0.5000  0.39
H: 0.0000 0.5000 0.0000  0.01

Output
Final energy in eV/cell: -19.27
Density of states at the Fermi level in states/eV per cell: 6.2
Symmetry: P4/mmm, No. 123
Energy above the lowest structure with this stoichiometry in eV/atom: 1.3095